[1]
The following is a GGA-PBEsol calculation of a relaxed structure of AlGeSe2, from the Alexandria database.

```
4
Lattice="-1.596 -2.958 -1.120 0.196 -2.960 1.937 -7.368 0.217 4.317" Properties=species:S:1:pos:R:3 pbc="T T T"
Ge 0.000 0.000 0.000
Al -4.384 -2.851 2.567
Se -3.642 -5.207 2.131
Se -5.126 -0.494 3.003
```

final energy = -18.04 eV/cell
size of the total moment = 0.00 Bohr magnetons per cell
space group = R-3m (166)
volume = 22.54 A^3/atom
theoretical density = 4.7 Mg/m³

=====

[2]
The following is a GGA-PBEsol calculation of a relaxed structure of Al2Si2Ge, from the Alexandria database.

```
10
Lattice="2.836 0.000 0.000 0.000 7.582 0.000 0.000 0.000 7.582" Properties=species:S:1:pos:R:3 pbc="T T T"
Ge 0.000 0.000 0.000
Ge 0.000 3.791 3.791
Si 0.000 2.589 6.381
Si 0.000 6.381 4.993
Si 0.000 4.993 1.202
Si 0.000 1.202 2.589
Al 1.418 1.051 4.842
Al 1.418 4.842 6.531
Al 1.418 6.531 2.740
Al 1.418 2.740 1.051
```

final energy = -47.40 eV/cell
size of the total moment = 0.00 Bohr magnetons per cell
space group = P4/mbm (127)
volume = 16.31 A^3/atom
theoretical density = 3.7 Mg/m³

=====

[3]
The following is a GGA-PBEsol calculation of a relaxed structure of AlSnGe3, from the Alexandria database.

```
5
Lattice="5.196 0.000 0.000 0.000 5.196 0.000 0.000 0.000 5.196" Properties=species:S:1:pos:R:3 pbc="T T T"
Ge 0.000 2.598 0.000
Ge 0.000 0.000 2.598
Ge 2.598 0.000 0.000
Sn 0.000 0.000 0.000
Al 2.598 2.598 2.598
```

final energy = -17.93 eV/cell
size of the total moment = 0.00 Bohr magnetons per cell
space group = Pm-3m (221)
calculated formation energy = 1.05 eV per atom
volume = 28.05 A^3/atom
theoretical density = 4.3 Mg/m³

=====

[4]
The following is a GGA-PBEsol calculation of a relaxed structure of Sr2Al7Ge, from the Alexandria database.

```
10
Lattice="-0.411 2.000 -3.948 -4.156 -1.537 -0.346 -3.741 9.002 4.949" Properties=species:S:1:pos:R:3 pbc="T T T"
Sr 0.000 0.000 0.000
Sr -4.164 4.756 0.340
Ge -2.721 1.283 -1.569
Al -3.008 1.469 1.057
Al -3.017 7.765 1.745
Al -1.135 3.237 -0.744
Al -4.889 5.996 3.546
Al -2.308 5.555 3.054
Al -1.416 3.408 1.874
Al -5.593 8.196 2.232
```

final energy = -39.74 eV/cell
size of the total moment = 0.00 Bohr magnetons per cell
space group = P4mm (99)
calculated formation energy = -0.25 eV per atom
volume = 21.60 A^3/atom
theoretical density = 3.4 Mg/m³

=====

[5]
The following is a GGA-PBEsol calculation of a relaxed structure of Sr2Al2Ge, from the Alexandria database.

```
5
Lattice="-2.216 -0.002 4.443 4.442 -0.095 2.215 -1.005 6.444 -3.272" Properties=species:S:1:pos:R:3 pbc="T T T"
Sr 2.275 3.150 1.136
Sr -1.054 3.196 2.250
Ge 0.000 0.000 0.000
Al 0.088 5.205 0.047
Al 1.133 1.141 3.340
```

final energy = -14.68 eV/cell
size of the total moment = 0.00 Bohr magnetons per cell
space group = I4/mmm (139)
calculated formation energy = 0.42 eV per atom
volume = 31.53 A^3/atom
theoretical density = 3.2 Mg/m³

=====

[6]
The following is a GGA-PBEsol calculation of a relaxed structure of SrAlGe, from the Alexandria database.

```
3
Lattice="-2.460 -0.154 3.499 3.817 -1.937 -0.020 1.996 3.916 1.576" Properties=species:S:1:pos:R:3 pbc="T T T"
Sr 0.000 0.000 0.000
Ge 0.630 1.210 3.114
Al 2.722 0.615 1.941
```

final energy = -12.34 eV/cell
size of the total moment = 0.00 Bohr magnetons per cell
space group = P-6m2 (187)
calculated formation energy = -0.49 eV per atom
volume = 24.70 A^3/atom
theoretical density = 4.2 Mg/m³